# ZrCo3Sn, relaxed, DFT PBE
# E_tot (eV per atom): -5.79
# Size of the total moment (μB per cell): 3.2
# Formation energy from the elements (kJ per mole of atoms): 94.66
data_ZrCo3Sn
_chemical_formula_sum 'Zr1 Co3 Sn1'
_cell_length_a 4.561
_cell_length_b 4.561
_cell_length_c 4.561
_cell_angle_alpha 90.00
_cell_angle_beta 90.00
_cell_angle_gamma 90.00
_symmetry_space_group_name_H-M 'P m -3 m'
_symmetry_Int_Tables_number 221
_symmetry_space_group_name_Hall '-P 4 2 3'
loop_
_atom_site_label
_atom_site_type_symbol
_atom_site_fract_x
_atom_site_fract_y
_atom_site_fract_z
Zr1 Zr 0.000 0.000 0.000
Co1 Co 0.000 0.500 0.500
Sn1 Sn 0.500 0.500 0.500